## Li3CeSc2Te6 (PBE)

Data for Li3CeSc2Te6 after structural relaxation.

Output
Total moment   0.99 μB/cell
Formation energy without anion corrections   -1.18 eV/atom

Cell lengths 7.3925, 7.3925, 7.4264 Å; angles 99.58, 99.58, 120.03 degrees
Closest atoms and distances in Å follow each position.
Atoms (fractional coordinates):
1 Li 0.8377 0.1623 0.5000  6 Te 2.95-3.09
2 Li 0.5000 0.5000 0.5000  6 Te 2.91-3.08
3 Li 0.1623 0.8377 0.5000  6 Te 2.95-3.09
4 Te 0.2685 0.2685 0.7493  3 Li 2.91-3.04, 2 Sc 2.98, 1 Ce 3.14
5 Te 0.0835 0.4358 0.2497  3 Li 2.95-3.09, 2 Sc 2.96-2.97, 1 Ce 3.14
6 Te 0.7315 0.7315 0.2507  3 Li 2.91-3.04, 2 Sc 2.98, 1 Ce 3.14
7 Te 0.9165 0.5642 0.7503  3 Li 2.95-3.09, 2 Sc 2.96-2.97, 1 Ce 3.14
8 Te 0.4358 0.0835 0.2497  3 Li 2.95-3.09, 2 Sc 2.96-2.97, 1 Ce 3.14
9 Te 0.5642 0.9165 0.7503  3 Li 2.95-3.09, 2 Sc 2.96-2.97, 1 Ce 3.14
10 Ce 0.0000 0.0000 0.0000  6 Te 3.14
11 Sc 0.6673 0.3327 0.0000  6 Te 2.96-2.98
12 Sc 0.3327 0.6673 0.0000  6 Te 2.96-2.98

***

## LiCeSc2Tl4 (PBE)

Data for LiCeSc2Tl4 after structural relaxation.

Output
Total moment   0.84 μB/cell
Energy of formation from the pure elements   -0.240 eV/atom

Cell lengths 5.1176, 5.1176, 9.2517 Å; angles 73.94, 73.94, 60.00 degrees
Closest atoms and distances in Å follow each position.
Atoms (fractional coordinates):
1 Ce 0.0000 0.0000 0.0000  8 Tl 3.22-3.40
2 Sc 0.7540 0.7540 0.7379  7 Tl 3.07-3.15
3 Sc 0.2460 0.2460 0.2621  7 Tl 3.07-3.15
4 Tl 0.6184 0.6184 0.1448  1 Li 3.11, 3 Sc 3.13, 3 Ce 3.22
5 Tl 0.1293 0.1293 0.6120  4 Sc 3.07-3.15, 3 Li 3.11, 1 Ce 3.40
6 Tl 0.3816 0.3816 0.8552  1 Li 3.11, 3 Sc 3.13, 3 Ce 3.22
7 Tl 0.8707 0.8707 0.3880  4 Sc 3.07-3.15, 3 Li 3.11, 1 Ce 3.40
8 Li 0.5000 0.5000 0.5000  8 Tl 3.11

***

## Li2CeScTl4 (PBE)

Data for Li2CeScTl4 after structural relaxation.

Output
Total moment   1.06 μB/cell
Energy of formation from the pure elements   -0.247 eV/atom

Cell lengths 5.1002, 5.1002, 9.1148 Å; angles 73.75, 73.75, 60.00 degrees
Closest atoms and distances in Å follow each position.
Atoms (fractional coordinates):
1 Sc 0.5000 0.5000 0.5000  8 Tl 3.04-3.11
2 Tl 0.8722 0.8722 0.3834  4 Li 3.07-3.13, 3 Sc 3.11, 1 Ce 3.31
3 Tl 0.6175 0.6175 0.1475  1 Sc 3.04, 3 Li 3.10, 3 Ce 3.21
4 Tl 0.3825 0.3825 0.8525  1 Sc 3.04, 3 Li 3.10, 3 Ce 3.21
5 Tl 0.1278 0.1278 0.6166  4 Li 3.07-3.13, 3 Sc 3.11, 1 Ce 3.31
6 Li 0.7537 0.7537 0.7389  7 Tl 3.07-3.13
7 Li 0.2463 0.2463 0.2611  7 Tl 3.07-3.13
8 Ce 0.0000 0.0000 0.0000  8 Tl 3.21-3.31

***

## LiCeTmSc (PBE)

Data for LiCeTmSc after structural relaxation.

Output
Total moment   1.37 μB/cell
Energy of formation from the pure elements   0.216 eV/atom

Cell lengths 5.3117, 5.3117, 5.3117 Å; angles 60.00, 60.00, 60.00 degrees
Closest atoms and distances in Å follow each position.
Atoms (fractional coordinates):
1 Tm 0.7500 0.7500 0.7500  4 Sc 3.25, 4 Li 3.25
2 Li 0.0000 0.0000 0.0000  4 Tm 3.25, 4 Ce 3.25
3 Sc 0.5000 0.5000 0.5000  4 Ce 3.25, 4 Tm 3.25
4 Ce 0.2500 0.2500 0.2500  4 Li 3.25, 4 Sc 3.25

***

## LiCeYSc (PBE)

Data for LiCeYSc after structural relaxation.

Output
Total moment   1.30 μB/cell
Energy of formation from the pure elements   0.212 eV/atom

Cell lengths 5.3536, 5.3536, 5.3536 Å; angles 60.00, 60.00, 60.00 degrees
Closest atoms and distances in Å follow each position.
Atoms (fractional coordinates):
1 Y 0.2500 0.2500 0.2500  4 Li 3.28, 4 Sc 3.28
2 Sc 0.5000 0.5000 0.5000  4 Ce 3.28, 4 Y 3.28
3 Ce 0.7500 0.7500 0.7500  4 Li 3.28, 4 Sc 3.28
4 Li 0.0000 0.0000 0.0000  4 Ce 3.28, 4 Y 3.28

***

## LiCe5Se8 (PBE)

Data for LiCe5Se8 after structural relaxation.

Output
Total moment   5.02 μB/cell
Formation energy without anion corrections   -1.77 eV/atom

Cell lengths 7.6833, 7.6833, 7.6833 Å; angles 109.93, 108.55, 109.93 degrees
Closest atoms and distances in Å follow each position.
Atoms (fractional coordinates):
1 Se 0.6138 0.8901 0.8660  1 Li 2.91, 5 Ce 2.96-3.23
2 Se 0.9759 0.1099 0.7237  1 Li 2.91, 5 Ce 2.96-3.23
3 Se 0.1188 0.7565 0.5176  5 Ce 2.96-3.15, 1 Li 3.27
4 Se 0.7611 0.2435 0.3622  5 Ce 2.96-3.15, 1 Li 3.27
5 Se 0.6378 0.3989 0.8812  5 Ce 2.96-3.15, 1 Li 3.27
6 Se 0.4824 0.6011 0.2389  5 Ce 2.96-3.15, 1 Li 3.27
7 Se 0.1340 0.7478 0.0241  1 Li 2.91, 5 Ce 2.96-3.23
8 Se 0.2763 0.2522 0.3862  1 Li 2.91, 5 Ce 2.96-3.23
9 Ce 0.5000 0.0000 0.5000  8 Se 2.96-3.15
10 Ce 0.7530 0.6248 0.6319  8 Se 2.96-3.23
11 Ce 0.0072 0.3752 0.1282  8 Se 2.96-3.23
12 Ce 0.3681 0.1210 0.9928  8 Se 2.96-3.23
13 Ce 0.8718 0.8790 0.2470  8 Se 2.96-3.23
14 Li 0.2500 0.5000 0.7500  4 Se 2.91

***

## LiCeSe (PBE)

Data for LiCeSe after structural relaxation.

Output
Total moment   3.49 μB/cell
Energy relative to the lowest polymorph listed for this composition   119 meV/atom
Formation energy without anion corrections   -0.93 eV/atom

Cell lengths 4.0024, 4.0024, 11.3613 Å; angles 79.85, 79.85, 60.00 degrees
Closest atoms and distances in Å follow each position.
Atoms (fractional coordinates):
1 Se 0.4381 0.4381 0.6857  3 Li 2.45
2 Se 0.5619 0.5619 0.3143  3 Li 2.45
3 Ce 0.7121 0.7121 0.8637  3 Se 3.04
4 Ce 0.2879 0.2879 0.1363  3 Se 3.04
5 Li 0.1295 0.1295 0.6115  3 Se 2.45
6 Li 0.8705 0.8705 0.3885  3 Se 2.45

***

## Li4Ce3Se8 (PBE)

Data for Li4Ce3Se8 after structural relaxation.

Output
Total moment   0.00 μB/cell
Formation energy without anion corrections   -1.42 eV/atom

Cell lengths 8.3055, 8.3055, 8.3267 Å; angles 60.08, 60.08, 60.00 degrees
Closest atoms and distances in Å follow each position.
Atoms (fractional coordinates):
1 Se 0.2532 0.7609 0.7326  3 Li 2.69-2.98, 2 Ce 2.86
2 Se 0.7609 0.2532 0.7326  3 Li 2.69-2.98, 2 Ce 2.86
3 Se 0.7468 0.7468 0.2674  3 Li 2.69-2.98, 2 Ce 2.86
4 Se 0.2432 0.2432 0.2703  1 Li 2.51
5 Se 0.7468 0.2391 0.2674  3 Li 2.69-2.98, 2 Ce 2.86
6 Se 0.7568 0.7568 0.7297  1 Li 2.51
7 Se 0.2532 0.2532 0.7326  3 Li 2.69-2.98, 2 Ce 2.86
8 Se 0.2391 0.7468 0.2674  3 Li 2.69-2.98, 2 Ce 2.86
9 Ce 0.0000 0.0000 0.5000  6 Se 2.86
10 Ce 0.5000 0.0000 0.5000  6 Se 2.86
11 Ce 0.0000 0.5000 0.5000  6 Se 2.86
12 Li 0.3663 0.3663 0.9012  4 Se 2.51-2.69, 1 Li 2.73
13 Li 0.5000 0.5000 0.5000  2 Li 2.73, 6 Se 2.90
14 Li 0.6337 0.6337 0.0988  4 Se 2.51-2.69, 1 Li 2.73
15 Li 0.0000 0.0000 0.0000  6 Se 2.98